No. 1
VASP calculation (GGA-PBE) on a relaxed structure of SiPRu2.

For the total magnetization, the calculation gives 0.00 μB/f.u. The value obtained for the volume is 51.3 Å³/cell. The energy above the lowest structure with this stoichiometry comes out at 64 meV per atom.

Cell: 2.9510 2.9510 5.8926 Å, 90.00 90.00 90.00°
With the nearest neighbours (Å) after each atom.
Element x y z (fractional)
P (0.5000, 0.5000, 0.7500)  8 Ru 2.56
Ru (0.0000, 0.0000, 0.0029)  4 Si 2.54, 4 P 2.56
Ru (0.0000, 0.0000, 0.4971)  4 Si 2.54, 4 P 2.56
Si (0.5000, 0.5000, 0.2500)  8 Ru 2.54

No. 2
VASP calculation (GGA-PBE) on a relaxed structure of Y4Np2S9.

For the total magnetization, the calculation gives 8.00 μB/f.u. The value obtained for the volume is 780.3 Å³/cell.

Cell: 6.9522 6.9520 18.6425 Å, 90.00 90.00 60.00°
With the nearest neighbours (Å) after each atom.
Element x y z (fractional)
Y (0.3334, 0.3333, 0.9839)  6 S 2.72-2.79
Y (0.3333, 0.3334, 0.4839)  6 S 2.72-2.79
Y (0.6666, 0.6667, 0.0161)  6 S 2.72-2.79
Y (0.3331, 0.3333, 0.1837)  6 S 2.74-2.79
Y (0.6667, 0.6666, 0.5161)  6 S 2.72-2.79
Y (0.6664, 0.6666, 0.3163)  6 S 2.74-2.79
Y (0.3336, 0.3334, 0.6837)  6 S 2.74-2.79
Y (0.6669, 0.6667, 0.8163)  6 S 2.74-2.79
Np (0.9998, 0.0000, 0.3504)  6 S 2.76-2.80
Np (0.9998, 0.0000, 0.1496)  6 S 2.76-2.80
Np (0.0002, 0.0000, 0.6496)  6 S 2.76-2.80
Np (0.0002, 0.0000, 0.8504)  6 S 2.76-2.80
S (0.0003, 0.3002, 0.7500)  2 Y 2.74, 2 Np 2.80
S (0.3005, 0.6998, 0.7500)  2 Y 2.74, 2 Np 2.80
S (0.7001, 0.0000, 0.7500)  2 Y 2.74, 2 Np 2.80
S (0.9997, 0.6998, 0.2500)  2 Y 2.74, 2 Np 2.80
S (0.6995, 0.3002, 0.2500)  2 Y 2.74, 2 Np 2.80
S (0.2999, 0.0000, 0.2500)  2 Y 2.74, 2 Np 2.80
S (0.6603, 0.9687, 0.4163)  3 Y 2.72-2.79, 1 Np 2.76
S (0.9686, 0.3707, 0.4163)  3 Y 2.72-2.79, 1 Np 2.76
S (0.3706, 0.6607, 0.4163)  3 Y 2.72-2.79, 1 Np 2.76
S (0.6290, 0.0313, 0.0837)  3 Y 2.72-2.79, 1 Np 2.76
S (0.3393, 0.6292, 0.0837)  3 Y 2.72-2.79, 1 Np 2.76
S (0.0314, 0.3392, 0.0836)  3 Y 2.72-2.79, 1 Np 2.76
S (0.3397, 0.0313, 0.5837)  3 Y 2.72-2.79, 1 Np 2.76
S (0.0314, 0.6293, 0.5837)  3 Y 2.72-2.79, 1 Np 2.76
S (0.6294, 0.3393, 0.5837)  3 Y 2.72-2.79, 1 Np 2.76
S (0.3710, 0.9687, 0.9163)  3 Y 2.72-2.79, 1 Np 2.76
S (0.6607, 0.3708, 0.9163)  3 Y 2.72-2.79, 1 Np 2.76
S (0.9686, 0.6608, 0.9164)  3 Y 2.72-2.79, 1 Np 2.76

Number 1: formation energy (no corrections) -0.4106 eV per atom. Number 2: formation energy (no corrections) -1.7886 eV per atom.